(1)
Sc5Cd2Pt2Au | PBE | relaxed

Results
- size of the total moment (μB/cell) = 0.0
- energy relative to the elements (eV per formula unit) = -7.444

The structure in CIF format:
```
data_Sc5Cd2Pt2Au
_chemical_formula_sum 'Sc10 Cd4 Pt4 Au2'
_cell_length_a 11.1397
_cell_length_b 11.1397
_cell_length_c 3.4537
_cell_angle_alpha 90.00
_cell_angle_beta 90.00
_cell_angle_gamma 90.00
_space_group_name_H-M_alt 'P 1'
_space_group_IT_number 1
loop_
_space_group_symop_operation_xyz
'x,y,z'
loop_
_atom_site_label
_atom_site_fract_x
_atom_site_fract_y
_atom_site_fract_z
Sc1 0.0000 0.5000 0.0000
Sc2 0.0792 0.1942 0.0000
Sc3 0.1942 0.9208 0.0000
Sc4 0.3058 0.4208 0.0000
Sc5 0.4208 0.6942 0.0000
Sc6 0.5000 0.0000 0.0000
Sc7 0.5792 0.3058 0.0000
Sc8 0.6942 0.5792 0.0000
Sc9 0.8058 0.0792 0.0000
Sc10 0.9208 0.8058 0.0000
Cd1 0.1683 0.6683 0.5000
Cd2 0.3317 0.1683 0.5000
Cd3 0.6683 0.8317 0.5000
Cd4 0.8317 0.3317 0.5000
Pt1 0.1333 0.3667 0.5000
Pt2 0.3667 0.8667 0.5000
Pt3 0.6333 0.1333 0.5000
Pt4 0.8667 0.6333 0.5000
Au1 0.0000 0.0000 0.5000
Au2 0.5000 0.5000 0.5000
```

(2)
K2GaBr3 | PBE | relaxed

Results
- size of the total moment (μB/cell) = 0.0
- uncorrected formation energy (meV/atom) = -1339.9

The structure in CIF format:
```
data_K2GaBr3
_chemical_formula_sum 'K4 Ga2 Br6'
_cell_length_a 4.6655
_cell_length_b 13.9315
_cell_length_c 6.6315
_cell_angle_alpha 90.00
_cell_angle_beta 90.00
_cell_angle_gamma 90.00
_space_group_name_H-M_alt 'P 1'
_space_group_IT_number 1
loop_
_space_group_symop_operation_xyz
'x,y,z'
loop_
_atom_site_label
_atom_site_fract_x
_atom_site_fract_y
_atom_site_fract_z
K1 0.2500 0.0825 0.2484
K2 0.2500 0.4175 0.2484
K3 0.7500 0.5825 0.7516
K4 0.7500 0.9175 0.7516
Ga1 0.2500 0.7500 0.2380
Ga2 0.7500 0.2500 0.7620
Br1 0.2500 0.0897 0.7486
Br2 0.2500 0.4103 0.7486
Br3 0.2500 0.7500 0.7987
Br4 0.7500 0.2500 0.2013
Br5 0.7500 0.5897 0.2514
Br6 0.7500 0.9103 0.2514
```

(3)
AlRh2O6 | PBE | relaxed

Results
- size of the total moment (μB/cell) = 0.0
- uncorrected formation energy (meV/atom) = -1312.5

The structure in CIF format:
```
data_AlRh2O6
_chemical_formula_sum 'Al2 Rh4 O12'
_cell_length_a 4.5034
_cell_length_b 4.5034
_cell_length_c 9.1147
_cell_angle_alpha 90.00
_cell_angle_beta 90.00
_cell_angle_gamma 90.00
_space_group_name_H-M_alt 'P 1'
_space_group_IT_number 1
loop_
_space_group_symop_operation_xyz
'x,y,z'
loop_
_atom_site_label
_atom_site_fract_x
_atom_site_fract_y
_atom_site_fract_z
Al1 0.0000 0.0000 0.0000
Al2 0.5000 0.5000 0.5000
Rh1 0.0000 0.0000 0.3315
Rh2 0.0000 0.0000 0.6685
Rh3 0.5000 0.5000 0.1685
Rh4 0.5000 0.5000 0.8315
O1 0.1924 0.1924 0.1606
O2 0.1924 0.1924 0.8394
O3 0.2010 0.2010 0.5000
O4 0.2990 0.7010 0.0000
O5 0.3076 0.6924 0.3394
O6 0.3076 0.6924 0.6606
O7 0.6924 0.3076 0.3394
O8 0.6924 0.3076 0.6606
O9 0.7010 0.2990 0.0000
O10 0.7990 0.7990 0.5000
O11 0.8076 0.8076 0.1606
O12 0.8076 0.8076 0.8394
```

N(E_F)
In order: 11.3 0.0 8.5
Unit: states/eV per cell